a | Compound: NiTe2Pt
Source: Alexandria via LeMat-Bulk
Functional: SCAN
Structure: single point on PBEsol structure

Cell lengths 3.9342, 3.9342, 7.8727 Å; angles 75.53, 75.53, 60.00 degrees
With the nearest neighbours (Å) after each atom.
Atoms (fractional coordinates):
Ni 0.0000 0.0000 0.0000  2 Te 2.36
Te 0.8957 0.8957 0.3130  1 Ni 2.36
Te 0.1043 0.1043 0.6870  1 Ni 2.36
Pt 0.5000 0.5000 0.5000  6 Te 2.67

Results
As for the spin magnetization: 0.07 μB/f.u. Its density is 8.365 g cm⁻³.

---

b | Compound: NiTe2Pt
Source: Alexandria via LeMat-Bulk
Functional: SCAN
Structure: single point on PBEsol structure

Cell lengths 3.4773, 4.6235, 4.6235 Å; angles 95.36, 90.00, 90.00 degrees
With the nearest neighbours (Å) after each atom.
Atoms (fractional coordinates):
Ni 0.5000 0.5000 0.5000  8 Te 2.89, 2 Pt 3.11
Pt 0.5000 0.0000 0.0000  8 Te 2.89, 2 Ni 3.11
Te 0.0000 0.0000 0.5000  4 Ni 2.89, 4 Pt 2.89, 2 Te 3.11
Te 0.0000 0.5000 0.0000  4 Pt 2.89, 4 Ni 2.89, 2 Te 3.11

Results
As for the spin magnetization: 0.00 μB/f.u. Its density is 11.420 g cm⁻³.

---

c | Compound: NiTe2Pt
Source: Alexandria via LeMat-Bulk
Functional: SCAN
Structure: single point on PBEsol structure

Cell lengths 3.8749, 3.8749, 6.7681 Å; angles 73.37, 73.37, 60.00 degrees
With the nearest neighbours (Å) after each atom.
Atoms (fractional coordinates):
Ni 0.5048 0.5048 0.4857  3 Te 2.47, 3 Pt 2.58
Te 0.9743 0.9743 0.0772  3 Pt 2.60
Te 0.7829 0.7829 0.6512  3 Ni 2.47
Pt 0.2380 0.2380 0.2860  3 Ni 2.58, 3 Te 2.60

Results
As for the spin magnetization: 0.00 μB/f.u. Its density is 10.175 g cm⁻³.

---

Last place for stability: b

---

a | Compound: NiPt2W
Source: Alexandria via LeMat-Bulk
Functional: SCAN
Structure: single point on PBEsol structure

Cell lengths 2.7213, 3.8506, 5.3255 Å; angles 90.00, 89.98, 90.00 degrees
With the nearest neighbours (Å) after each atom.
Atoms (fractional coordinates):
Ni 0.5000 0.5000 0.5000  2 W 2.66, 8 Pt 2.70, 2 Ni 2.72
W 0.5000 0.5000 0.0000  2 Ni 2.66, 8 Pt 2.72, 2 W 2.72
Pt 0.0001 0.0000 0.7464  4 Pt 2.62-2.72, 4 Ni 2.70, 4 W 2.72
Pt 0.9999 0.0000 0.2536  4 Pt 2.62-2.72, 4 Ni 2.70, 4 W 2.72

Results
As for the spin magnetization: 0.00 μB/f.u. Its density is 18.827 g cm⁻³.

---

b | Compound: NiPt2W
Source: Alexandria via LeMat-Bulk
Functional: SCAN
Structure: single point on PBEsol structure

Cell lengths 3.7861, 3.7861, 4.7086 Å; angles 113.71, 113.71, 90.00 degrees
With the nearest neighbours (Å) after each atom.
Atoms (fractional coordinates):
Ni 0.5000 0.5000 0.0000  4 W 2.68, 8 Pt 2.71
W 0.0000 0.0000 0.0000  4 Ni 2.68, 8 Pt 2.71
Pt 0.7500 0.2500 0.5000  4 Pt 2.68, 4 W 2.71, 4 Ni 2.71
Pt 0.2500 0.7500 0.5000  4 Pt 2.68, 4 Ni 2.71, 4 W 2.71

Results
As for the spin magnetization: 0.00 μB/f.u. Its density is 18.922 g cm⁻³.

---

c | Compound: NiPt2W
Source: Alexandria via LeMat-Bulk
Functional: SCAN
Structure: single point on PBEsol structure

Cell lengths 2.7175, 4.6779, 4.6941 Å; angles 99.85, 90.00, 106.89 degrees
With the nearest neighbours (Å) after each atom.
Atoms (fractional coordinates):
Ni 0.7525 0.5051 0.2521  7 Pt 2.64-2.78, 3 W 2.66-2.75, 2 Ni 2.72
W 0.4963 0.9926 0.4995  7 Pt 2.65-2.77, 3 Ni 2.66-2.75, 2 W 2.72
Pt 0.0034 0.0068 0.0150  4 W 2.66-2.77, 3 Ni 2.68, 5 Pt 2.72-2.78
Pt 0.2478 0.4955 0.7334  4 Ni 2.64-2.78, 3 W 2.65-2.69, 5 Pt 2.72-2.78

Results
As for the spin magnetization: 0.00 μB/f.u. Its density is 18.701 g cm⁻³.

---

d | Compound: NiPt2W
Source: Alexandria via LeMat-Bulk
Functional: SCAN
Structure: single point on PBEsol structure

Cell lengths 2.7203, 2.7203, 7.5434 Å; angles 90.00, 90.00, 90.00 degrees
With the nearest neighbours (Å) after each atom.
Atoms (fractional coordinates):
Ni 0.5000 0.5000 0.5000  8 Pt 2.65, 4 Ni 2.72
W 0.5000 0.5000 0.0000  4 W 2.72, 8 Pt 2.74
Pt 0.0000 0.0000 0.7417  4 Ni 2.65, 4 Pt 2.72, 4 W 2.74
Pt 0.0000 0.0000 0.2583  4 Ni 2.65, 4 Pt 2.72, 4 W 2.74

Results
As for the spin magnetization: 0.85 μB/f.u. Its density is 18.822 g cm⁻³.

---

Last place for stability: c

---

a | Compound: Ni2PtW
Source: Alexandria via LeMat-Bulk
Functional: SCAN
Structure: single point on PBEsol structure

Cell lengths 2.6892, 3.6117, 5.2855 Å; angles 90.00, 90.00, 90.00 degrees
With the nearest neighbours (Å) after each atom.
Atoms (fractional coordinates):
Ni 0.0000 0.0000 0.7391  4 Ni 2.53-2.76, 4 W 2.58, 4 Pt 2.64
Ni 0.0000 0.0000 0.2609  4 Ni 2.53-2.76, 4 W 2.58, 4 Pt 2.64
W 0.5000 0.5000 0.5000  8 Ni 2.58, 2 Pt 2.64, 2 W 2.69
Pt 0.5000 0.5000 0.0000  8 Ni 2.64, 2 W 2.64, 2 Pt 2.69

Results
As for the spin magnetization: 0.00 μB/f.u. Its density is 16.054 g cm⁻³.

---

b | Compound: Ni2PtW
Source: Alexandria via LeMat-Bulk
Functional: SCAN
Structure: single point on PBEsol structure

Cell lengths 4.1541, 4.1541, 4.1541 Å; angles 60.00, 60.00, 60.00 degrees
With the nearest neighbours (Å) after each atom.
Atoms (fractional coordinates):
Ni 0.2500 0.2500 0.2500  4 W 2.54, 4 Pt 2.54
Ni 0.7500 0.7500 0.7500  4 W 2.54, 4 Pt 2.54
W 0.0000 0.0000 0.0000  8 Ni 2.54
Pt 0.5000 0.5000 0.5000  8 Ni 2.54

Results
As for the spin magnetization: 0.00 μB/f.u. Its density is 16.259 g cm⁻³.

---

Last place for stability: b